# Ce2Al3SiAu4 | Alexandria via LeMat-Bulk | GGA-PBE | optimized geometry
# Density, g cm⁻³: 9.67
# Raw formation energy, meV per atom: -635
# Crystal system: tetragonal
data_Ce2Al3SiAu4
_cell_length_a 4.4306
_cell_length_b 4.4306
_cell_length_c 10.2944
_cell_angle_alpha 90.00
_cell_angle_beta 90.00
_cell_angle_gamma 90.00
_symmetry_space_group_name_H-M 'P -4 m 2'
_symmetry_Int_Tables_number 115
loop_
_symmetry_equiv_pos_as_xyz
'x,y,z'
'y,-x,-z'
'-x,-y,z'
'-y,x,-z'
'-x,y,z'
'-y,-x,-z'
'x,-y,z'
'y,x,-z'
loop_
_atom_site_label
_atom_site_fract_x
_atom_site_fract_y
_atom_site_fract_z
_atom_site_occupancy
Ce1 0.0000 0.5000 0.2458 1
Al1 0.0000 0.0000 0.0000 1
Al2 0.0000 0.5000 0.6317 1
Si1 0.5000 0.5000 0.0000 1
Au1 0.0000 0.0000 0.5000 1
Au2 0.0000 0.5000 0.8756 1
Au3 0.5000 0.5000 0.5000 1